Entry 1:
The following is a DFT calculation (PBE) of a relaxed structure of RbP2HCl.

Computed properties:
V: 380.9 Å³/cell
Calculated total energy: -0.159 Ry per atom
Density: 0.802 g cm⁻³
N(E_F): 0.00 states/eV/f.u.

Cell: 7.9496 7.9496 6.0267 Å, 90.00 90.00 90.00°
Last column: nearest neighbours and their distance in Å.
Fractional positions:
Rb  0.0000  0.0000  0.0000  2 Cl 3.01
P  0.0000  0.5000  0.0000  2 Rb 3.97
P  0.5000  0.0000  0.0000  2 Rb 3.97
H  0.5000  0.5000  0.5000  8 P 4.99
Cl  0.0000  0.0000  0.5000  2 Rb 3.01

=====

Entry 2:
The following is a DFT calculation (PBE) of a relaxed structure of RbPH2Cl8.

Computed properties:
V: 333.0 Å³/cell
Calculated total energy: -0.227 Ry per atom
Density: 2.005 g cm⁻³
N(E_F): 0.00 states/eV/f.u.

Cell: 6.5570 6.8741 7.8594 Å, 72.07 82.47 83.17°
Last column: nearest neighbours and their distance in Å.
Fractional positions:
Rb  0.0000  0.0000  0.0000  10 Cl 3.54-3.85
P  0.0000  0.5000  0.5000  6 Cl 2.15-2.20
H  0.3593  0.2096  0.2715  1 Cl 1.31
H  0.6407  0.7904  0.7285  1 Cl 1.31
Cl  0.0908  0.5179  0.7498  1 P 2.17
Cl  0.1879  0.2052  0.5361  1 P 2.20, 1 H 2.22
Cl  0.2616  0.6608  0.3561  1 P 2.15
Cl  0.4389  0.1966  0.1130  1 H 1.31
Cl  0.5611  0.8034  0.8870  1 H 1.31
Cl  0.7384  0.3392  0.6439  1 P 2.15
Cl  0.8121  0.7948  0.4639  1 P 2.20, 1 H 2.22
Cl  0.9092  0.4821  0.2502  1 P 2.17

=====

Entry 3:
The following is a DFT calculation (PBE) of a relaxed structure of RbP2HCl.

Computed properties:
V: 126.7 Å³/cell
Calculated total energy: -0.235 Ry per atom
Density: 2.410 g cm⁻³
N(E_F): 2.06 states/eV/f.u.

Cell: 4.0128 4.0128 7.8682 Å, 90.00 90.00 90.00°
Last column: nearest neighbours and their distance in Å.
Fractional positions:
Rb  0.0000  0.0000  0.0000  4 Cl 2.84
P  0.0000  0.5000  0.5000  2 H 2.01
P  0.5000  0.0000  0.5000  2 H 2.01
H  0.5000  0.5000  0.5000  4 P 2.01
Cl  0.5000  0.5000  0.0000  4 Rb 2.84

=====

Entry 4:
The following is a DFT calculation (PBE) of a relaxed structure of P2HRuCl.

Computed properties:
V: 63.9 Å³/cell
Calculated total energy: -0.310 Ry per atom
Density: 5.182 g cm⁻³
N(E_F): 4.19 states/eV/f.u.

Cell: 3.6839 3.6839 4.7100 Å, 90.00 90.00 90.00°
Last column: nearest neighbours and their distance in Å.
Fractional positions:
P  0.0000  0.5000  0.0000  2 H 1.84
P  0.5000  0.0000  0.0000  2 H 1.84
H  0.0000  0.0000  0.0000  4 P 1.84
Ru  0.5000  0.5000  0.5000  4 Cl 2.60
Cl  0.0000  0.0000  0.5000  2 H 2.35, 4 Ru 2.60

=====

Entry 5:
The following is a DFT calculation (PBE) of a relaxed structure of P2HRuCl.

Computed properties:
V: 105.2 Å³/cell
Calculated total energy: -0.317 Ry per atom
Density: 3.150 g cm⁻³
N(E_F): 1.71 states/eV/f.u.

Cell: 4.4762 4.4762 5.2488 Å, 90.00 90.00 90.00°
Last column: nearest neighbours and their distance in Å.
Fractional positions:
P  0.0000  0.5000  0.0000  2 Ru 2.24
P  0.5000  0.0000  0.0000  2 Ru 2.24
H  0.0000  0.0000  0.5000  4 Cl 3.17, 8 P 3.45
Ru  0.5000  0.5000  0.0000  4 P 2.24
Cl  0.5000  0.5000  0.5000  2 Ru 2.62

=====

Entry 6:
The following is a DFT calculation (PBE) of a relaxed structure of SbP2HCl.

Computed properties:
V: 149.3 Å³/cell
Calculated total energy: -0.211 Ry per atom
Density: 2.449 g cm⁻³
N(E_F): 2.76 states/eV/f.u.

Cell: 5.2298 5.2298 5.4573 Å, 90.00 90.00 90.00°
Last column: nearest neighbours and their distance in Å.
Fractional positions:
Sb  0.0000  0.0000  0.0000  4 P 2.61, 2 Cl 2.73
P  0.0000  0.5000  0.0000  2 Sb 2.61
P  0.5000  0.0000  0.0000  2 Sb 2.61
H  0.5000  0.5000  0.5000  4 Cl 3.70, 8 P 3.78
Cl  0.0000  0.0000  0.5000  2 Sb 2.73

=====

Entry 7:
The following is a DFT calculation (PBE) of a relaxed structure of SbP2HCl.

Computed properties:
V: 82.1 Å³/cell
Calculated total energy: -0.250 Ry per atom
Density: 4.455 g cm⁻³
N(E_F): 4.60 states/eV/f.u.

Cell: 3.9387 3.9387 5.2896 Å, 90.00 90.00 90.00°
Last column: nearest neighbours and their distance in Å.
Fractional positions:
Sb  0.0000  0.0000  0.0000  4 Cl 2.79
P  0.0000  0.5000  0.5000  2 H 1.97
P  0.5000  0.0000  0.5000  2 H 1.97
H  0.5000  0.5000  0.5000  4 P 1.97
Cl  0.5000  0.5000  0.0000  2 H 2.64, 4 Sb 2.79

=====

Entry 8:
The following is a DFT calculation (PBE) of a relaxed structure of SbPHCl2.

Computed properties:
V: 85.3 Å³/cell
Calculated total energy: -0.201 Ry per atom
Density: 4.372 g cm⁻³
N(E_F): 3.14 states/eV/f.u.

Cell: 4.2599 4.2599 4.7023 Å, 90.00 90.00 90.00°
Last column: nearest neighbours and their distance in Å.
Fractional positions:
Sb  0.0000  0.0000  0.0000  4 P 3.01, 8 Cl 3.17
P  0.5000  0.5000  0.0000  2 H 2.35
H  0.5000  0.5000  0.5000  4 Cl 2.13, 2 P 2.35
Cl  0.0000  0.5000  0.5000  2 H 2.13
Cl  0.5000  0.0000  0.5000  2 H 2.13